# 1
# La2YHg

A relaxed structure of La2YHg (GGA-PBE, the Alexandria database).

The space-group type is Pmmm (47). Its total energy is -4.340 eV per atom. The theoretical density comes out at 7.45 Mg/m³.

Lattice parameters (Å, degrees): 3.8184 4.6404 7.1339 90.00 90.00 90.00
Fractional positions:
La 0.0000 0.0000 0.2297
La 0.0000 0.0000 0.7703
Y 0.5000 0.5000 0.5000
Hg 0.5000 0.5000 0.0000

***

# 2
# LaY5Hg4

A relaxed structure of LaY5Hg4 (GGA-PBE, the Alexandria database).

The space-group type is P4/mmm (123). Its total energy is -4.249 eV per atom. The theoretical density comes out at 8.31 Mg/m³.

Lattice parameters (Å, degrees): 3.7193 3.7193 20.0162 90.00 90.00 90.00
Fractional positions:
La 0.0000 0.0000 0.0000
Y 0.5000 0.5000 0.1278
Y 0.5000 0.5000 0.3139
Y 0.5000 0.5000 0.5000
Y 0.5000 0.5000 0.6861
Y 0.5000 0.5000 0.8722
Hg 0.0000 0.0000 0.2185
Hg 0.0000 0.0000 0.4057
Hg 0.0000 0.0000 0.5943
Hg 0.0000 0.0000 0.7815

***

# 3
# LaYHg

A relaxed structure of LaYHg (GGA-PBE, the Alexandria database).

The space-group type is P3m1 (156). For the energy above the most stable polymorph in this dataset, the calculation gives 0.100 eV per atom. Its total energy is -4.116 eV per atom. The theoretical density comes out at 7.60 Mg/m³.

Lattice parameters (Å, degrees): 5.2168 5.2168 3.9705 90.00 90.00 120.00
Fractional positions:
La 0.0000 0.0000 0.0000
Y 0.3333 0.6667 0.5005
Hg 0.6667 0.3333 0.4988

***

# 4
# La2YHg

A relaxed structure of La2YHg (GGA-PBE, the Alexandria database).

The space-group type is P4/mmm (123). Its total energy is -4.371 eV per atom. The theoretical density comes out at 7.19 Mg/m³.

Lattice parameters (Å, degrees): 3.8147 3.8147 9.0052 90.00 90.00 90.00
Fractional positions:
La 0.0000 0.0000 0.2242
La 0.0000 0.0000 0.7758
Y 0.5000 0.5000 0.5000
Hg 0.5000 0.5000 0.0000

***

# 5
# LaY3Hg

A relaxed structure of LaY3Hg (GGA-PBE, the Alexandria database).

The space-group type is Pm-3m (221). For the energy above the most stable polymorph in this dataset, the calculation gives 0.643 eV per atom. Its total energy is -4.139 eV per atom. The theoretical density comes out at 5.62 Mg/m³.

Lattice parameters (Å, degrees): 5.6379 5.6379 5.6379 90.00 90.00 90.00
Fractional positions:
La 0.0000 0.0000 0.0000
Y 0.0000 0.0000 0.5000
Y 0.0000 0.5000 0.0000
Y 0.5000 0.0000 0.0000
Hg 0.5000 0.5000 0.5000

***

# 6
# LaY2Hg

A relaxed structure of LaY2Hg (GGA-PBE, the Alexandria database).

The space-group type is P4/mmm (123). Its total energy is -4.644 eV per atom. The theoretical density comes out at 7.48 Mg/m³.

Lattice parameters (Å, degrees): 5.5423 5.5423 3.7404 90.00 90.00 90.00
Fractional positions:
La 0.0000 0.0000 0.0000
Y 0.0000 0.5000 0.5000
Y 0.5000 0.0000 0.5000
Hg 0.5000 0.5000 0.0000

***

The calculation returns the following N(E_F) values, one per record and in order: 5.48 11.63 4.05 5.59 6.10 5.76 states/eV per cell.